This record from Alexandria describes a geometry-optimized Pu2CuPd structure. The functional is GGA-PBE.

Lattice parameters (Å, degrees): 5.278 5.278 3.041 90.00 90.00 90.08
Sites, in units of the cell vectors:
Pu: 0.000 0.500 0.000
Pu: 0.500 0.000 0.000
Cu: 0.000 0.000 0.500
Pd: 0.500 0.500 0.500

Total energy   -9.617 eV per atom
Space group   Cmmm
Density of states at the Fermi level   15.88 states/eV per cell
DFT formation energy   -0.129 eV per atom
V   84.7 Å³/cell
Size of the total moment   11.70 μB per formula unit